Entry 1:
Below is crystalline Nd3CuAg2 at its relaxed geometry, with properties calculated at the PBE level.

```
Nd3CuAg2
1.0
-3.216 -1.788 0.179
1.285 -2.030 2.793
-3.839 7.638 7.318
Nd Cu Ag
3 1 2
direct
0.000 0.000 0.000
0.000 0.000 0.656
0.000 0.000 0.344
0.500 0.500 0.500
0.500 0.500 0.828
0.500 0.500 0.172
```

Summary:
Polymorph energy (0 for the lowest one) = 0.000 eV/atom
ΔH_f (0 K) = -0.216 eV/atom
Electronic total energy = -4.23 eV/atom

---

Entry 2:
Below is crystalline BaNaHg2 at its relaxed geometry, with properties calculated at the PBE level.

```
BaNaHg2
1.0
0.348 -3.183 4.688
-3.935 0.491 4.063
-3.725 -4.196 0.866
Na Hg Ba
1 2 1
direct
0.000 0.000 0.000
0.250 0.250 0.250
0.750 0.750 0.750
0.500 0.500 0.500
```

Summary:
Polymorph energy (0 for the lowest one) = 0.002 eV/atom
ΔH_f (0 K) = -0.391 eV/atom
Electronic total energy = -1.35 eV/atom

---

Entry 3:
Below is crystalline HfMg2Ga at its relaxed geometry, with properties calculated at the PBE level.

```
HfMg2Ga
1.0
-4.307 -4.749 -4.553
5.853 -0.281 -5.244
1.846 -4.751 -3.581
Mg Hf Ga
4 2 2
direct
0.585 0.125 0.250
0.165 0.625 0.250
0.375 0.415 0.750
0.875 0.835 0.750
0.000 0.000 0.000
0.750 0.250 0.500
0.500 0.500 0.000
0.250 0.750 0.500
```

Summary:
ΔH_f (0 K) = 0.238 eV/atom
Electronic total energy = -3.80 eV/atom

---

Entry 4:
Below is crystalline MnPb at its relaxed geometry, with properties calculated at the PBE level.

```
MnPb
1.0
-1.963 0.179 -2.331
-0.569 -2.988 0.250
-6.543 1.718 5.642
Mn Pb
2 2
direct
0.250 0.250 0.557
0.750 0.750 0.443
0.250 0.250 0.207
0.750 0.750 0.793
```

Summary:
ΔH_f (0 K) = 0.467 eV/atom
Electronic total energy = -5.97 eV/atom

---

Entry 5:
Below is crystalline Tb2Pu2Sc7 at its relaxed geometry, with properties calculated at the PBE level.

```
Tb2Pu2Sc7
1.0
7.864 0.956 1.380
0.091 5.990 1.297
0.091 -0.889 6.064
Tb Pu Sc
2 2 7
direct
0.874 0.391 0.391
0.126 0.609 0.609
0.500 0.163 0.837
0.500 0.837 0.163
0.210 0.093 0.503
0.790 0.497 0.907
0.790 0.907 0.497
0.210 0.503 0.093
0.000 0.000 0.000
0.474 0.682 0.682
0.526 0.318 0.318
```

Summary:
ΔH_f (0 K) = 0.278 eV/atom
Electronic total energy = -7.20 eV/atom

---

Look up the electronic total energy of the fourth one.
-5.97 eV/atom